[1]
Ti2BeH2 | PBE | optimized geometry

Values from the calculation:
**Total moment**: 0.00 μB per formula unit
**Calculated density**: 3.7 g/cm3
**Space group**: I4/mmm, No. 139
**Energy**: -27.65 eV for the cell shown

Structure (POSCAR):
```
Ti2BeH2
1.0
3.232 0.000 0.000
0.000 3.232 0.000
1.616 1.616 4.532
Be H Ti
1 2 2
Cartesian
0.000 0.000 0.000
3.232 1.616 2.266
1.616 3.232 2.266
1.616 1.616 1.320
3.232 3.232 3.211
```

[2]
TiBeH2 | PBE | optimized geometry

Values from the calculation:
**Total moment**: 0.00 μB per formula unit
**Calculated density**: 3.5 g/cm3
**Distance to the lowest polymorph of the same formula**: 0.0576 eV/atom
**Space group**: Fm-3m, No. 225
**Energy**: -18.36 eV for the cell shown

Structure (POSCAR):
```
TiBeH2
1.0
0.000 2.407 2.407
2.407 0.000 2.407
2.407 2.407 0.000
Be H Ti
1 2 1
Cartesian
0.000 0.000 0.000
1.204 1.204 1.204
3.611 3.611 3.611
2.407 2.407 2.407
```

[3]
TiBeH | PBE | optimized geometry

Values from the calculation:
**Total moment**: 0.00 μB per formula unit
**Calculated density**: 3.4 g/cm3
**Distance to the lowest polymorph of the same formula**: 0.0802 eV/atom
**Space group**: P2_1/c, No. 14
**Energy**: -61.65 eV for the cell shown

Structure (POSCAR):
```
TiBeH
1.0
3.699 0.915 0.000
0.346 6.481 0.000
0.000 0.000 4.792
Be H Ti
4 4 4
Cartesian
3.411 4.047 0.894
1.561 3.589 1.502
2.484 3.807 3.290
0.634 3.349 3.898
3.689 0.915 3.594
1.840 0.458 3.594
2.205 6.938 1.198
0.356 6.481 1.198
3.404 6.024 2.397
1.555 5.566 4.792
2.491 1.830 0.000
0.641 1.372 2.396
```

[4]
Ti5Be3H12 | PBE | optimized geometry

Values from the calculation:
**Total moment**: 0.00 μB per formula unit
**Calculated density**: 3.0 g/cm3
**Space group**: Ia-3d, No. 230
**Energy**: -372.52 eV for the cell shown

Structure (POSCAR):
```
Ti5Be3H12
1.0
-4.502 6.284 5.081
-5.864 -3.881 -6.010
3.493 -6.524 5.550
Be Ti H
12 20 48
Cartesian
-5.139 2.442 2.250
-7.901 1.772 0.631
-3.903 -4.632 0.866
-0.549 -1.361 2.600
-3.799 3.382 5.082
-4.480 -1.700 -0.464
-2.393 -2.421 5.084
-3.074 -7.503 -0.461
-6.324 -2.761 2.020
-2.970 0.511 3.754
1.028 -5.893 3.989
-1.734 -6.563 2.370
-1.888 -2.301 -0.231
-2.932 -1.941 -3.005
0.000 0.000 0.000
-2.718 0.571 1.096
-0.505 -0.120 5.316
-5.183 1.201 -0.465
-3.651 -4.572 -1.791
-1.053 -1.481 7.916
-5.732 -0.159 2.135
0.199 -3.022 5.317
-7.071 -1.100 -0.696
-3.436 -2.061 2.310
-2.251 3.142 2.540
1.747 -3.262 2.775
-1.141 -3.962 2.485
-5.820 -2.640 -3.295
-1.185 -5.203 -0.230
-3.222 0.451 6.412
-4.155 -4.692 3.524
-4.985 -1.820 4.852
-4.047 3.358 2.827
-3.540 -2.420 0.518
-5.082 2.772 4.494
-3.097 1.519 2.600
-4.249 -3.676 2.020
-7.373 2.525 1.863
-4.571 -3.964 -0.347
-5.633 -4.194 -4.221
-6.059 -3.971 1.110
-5.748 1.435 1.261
-5.045 1.191 3.139
-8.769 1.563 -0.620
-3.016 -5.248 -0.228
-3.552 0.369 -0.506
-4.146 -5.317 -3.374
-1.025 -1.791 4.776
-0.264 -1.770 0.388
-5.362 -0.549 -0.974
-8.524 -0.341 0.091
-3.170 -1.502 -1.243
-4.184 -6.824 0.357
-5.147 -1.825 1.701
-6.987 -1.438 2.440
-2.223 -2.739 7.324
-1.726 -2.297 2.920
0.114 -2.683 2.181
-4.650 -1.382 -2.703
1.651 -3.780 4.529
-2.689 2.703 4.264
-3.703 -2.619 5.864
-1.511 -3.572 5.595
-5.848 -2.330 -0.155
-6.609 -2.351 4.233
-2.727 1.196 7.994
-3.857 1.127 4.849
1.896 -5.684 5.241
-3.321 -4.490 5.126
-0.814 -0.151 3.511
-1.125 -5.556 3.359
-1.828 -5.312 1.481
-1.240 0.072 8.841
-2.302 -0.157 4.967
-3.776 -5.640 2.020
0.500 -6.647 2.757
-2.624 -0.445 2.601
-1.791 -6.894 0.127
-3.333 -1.701 4.103
-2.826 -7.479 1.793
```

[5]
Ti3BeH | PBE | optimized geometry

Values from the calculation:
**Total moment**: 3.02 μB per formula unit
**Calculated density**: 3.0 g/cm3
**Distance to the lowest polymorph of the same formula**: 1.2297 eV/atom
**Space group**: Pm-3m, No. 221
**Energy**: -25.45 eV for the cell shown

Structure (POSCAR):
```
Ti3BeH
1.0
4.394 0.000 0.000
0.000 4.394 0.000
0.000 0.000 4.394
Be H Ti
1 1 3
Cartesian
0.000 0.000 0.000
2.197 2.197 2.197
0.000 2.197 0.000
0.000 0.000 2.197
2.197 0.000 0.000
```

[6]
Ti3BeH | PBE | optimized geometry

Values from the calculation:
**Total moment**: 0.00 μB per formula unit
**Calculated density**: 4.1 g/cm3
**Distance to the lowest polymorph of the same formula**: 0.0395 eV/atom
**Space group**: Cmmm, No. 65
**Energy**: -62.79 eV for the cell shown

Structure (POSCAR):
```
Ti3BeH
1.0
-2.372 -1.828 -2.465
4.489 -2.423 -2.521
-2.592 -3.125 4.810
Ti Be H
6 2 2
Cartesian
0.022 -1.566 -1.911
1.987 -4.427 1.372
2.095 -2.686 -3.075
-0.237 -3.688 -0.088
-0.090 -1.121 0.918
-2.482 -2.477 1.173
2.159 -2.276 -0.389
-0.262 -3.272 2.679
-1.273 -1.998 -0.346
0.798 -5.379 0.170
```

[7]
TiBeH | PBE | optimized geometry

Values from the calculation:
**Total moment**: 0.00 μB per formula unit
**Calculated density**: 3.4 g/cm3
**Distance to the lowest polymorph of the same formula**: 0.0000 eV/atom
**Space group**: C2/m, No. 12
**Energy**: -31.31 eV for the cell shown

Structure (POSCAR):
```
TiBeH
1.0
3.325 0.008 -0.519
1.641 2.918 -0.368
-0.801 1.195 5.885
Ti Be H
2 2 2
Cartesian
1.240 2.925 2.657
2.546 1.857 0.027
3.164 2.022 4.080
1.504 1.044 4.338
4.272 2.853 0.205
2.838 1.937 1.960
```

[8]
TiBeH2 | PBE | optimized geometry

Values from the calculation:
**Total moment**: 0.00 μB per formula unit
**Calculated density**: 3.2 g/cm3
**Distance to the lowest polymorph of the same formula**: 0.0000 eV/atom
**Space group**: I-42d, No. 122
**Energy**: -37.19 eV for the cell shown

Structure (POSCAR):
```
TiBeH2
1.0
3.753 0.000 0.000
0.000 3.753 0.000
1.876 1.876 4.401
Be H Ti
2 4 2
Cartesian
1.876 1.876 0.000
1.876 3.753 2.201
2.572 0.938 1.100
1.180 2.814 1.100
2.814 3.057 3.301
4.691 4.448 3.301
0.000 0.000 0.000
3.753 1.876 2.201
```

[9]
Ti4Be2H | PBE | optimized geometry

Values from the calculation:
**Total moment**: 0.00 μB per formula unit
**Calculated density**: 4.0 g/cm3
**Space group**: Pm, No. 6
**Energy**: -42.69 eV for the cell shown

Structure (POSCAR):
```
Ti4Be2H
1.0
-0.868 2.277 -1.622
-7.624 0.303 4.508
2.813 2.085 1.421
Ti Be H
4 2 1
Cartesian
-5.668 2.916 4.488
-2.431 0.376 1.830
-0.539 2.094 0.586
-5.705 0.282 3.451
-2.049 2.860 2.471
-4.151 2.167 2.624
-0.841 0.133 0.637
```

[10]
Ti4BeH | PBE | optimized geometry

Values from the calculation:
**Total moment**: 0.00 μB per formula unit
**Calculated density**: 4.1 g/cm3
**Space group**: Cmc2_1, No. 36
**Energy**: -77.26 eV for the cell shown

Structure (POSCAR):
```
Ti4BeH
1.0
-1.483 -0.387 3.504
-2.074 -4.718 -1.398
7.364 -3.430 0.650
Ti Be H
8 2 2
Cartesian
3.946 -4.803 3.227
-0.552 -4.670 -0.749
4.337 -7.302 1.029
-0.912 -2.103 1.469
0.586 -4.422 1.847
3.850 -2.683 1.333
1.588 -2.038 2.534
2.852 -5.057 0.649
2.225 -6.766 2.282
1.185 -2.671 0.207
-1.211 -4.038 1.129
5.223 -4.032 1.765
```

[11]
TiBeH | PBE | optimized geometry

Values from the calculation:
**Total moment**: 0.00 μB per formula unit
**Calculated density**: 2.9 g/cm3
**Distance to the lowest polymorph of the same formula**: 0.4062 eV/atom
**Space group**: I4mm, No. 107
**Energy**: -14.44 eV for the cell shown

Structure (POSCAR):
```
TiBeH
1.0
-1.061 -1.734 -1.601
-1.563 -0.800 1.901
-2.042 4.579 -1.514
Be Ti H
1 1 1
Cartesian
-4.459 1.841 -1.130
-2.370 -0.222 -0.280
-1.496 1.477 -0.608
```

[12]
TiBeH2 | PBE | optimized geometry

Values from the calculation:
**Total moment**: 0.00 μB per formula unit
**Calculated density**: 3.0 g/cm3
**Distance to the lowest polymorph of the same formula**: 0.0033 eV/atom
**Space group**: R3m, No. 160
**Energy**: -18.58 eV for the cell shown

Structure (POSCAR):
```
TiBeH2
1.0
2.916 0.000 -0.001
1.459 2.524 0.000
1.458 0.841 4.448
Ti Be H
1 1 2
Cartesian
3.416 1.037 3.193
1.958 1.880 0.647
1.958 1.878 2.185
1.959 0.196 0.552
```

[13]
Ti3BeH | PBE | optimized geometry

Values from the calculation:
**Total moment**: 0.00 μB per formula unit
**Calculated density**: 4.1 g/cm3
**Distance to the lowest polymorph of the same formula**: 0.0000 eV/atom
**Space group**: Pm-3m, No. 221
**Energy**: -31.59 eV for the cell shown

Structure (POSCAR):
```
Ti3BeH
1.0
3.956 0.000 0.000
0.000 3.956 0.000
0.000 0.000 3.956
Be H Ti
1 1 3
Cartesian
1.978 1.978 1.978
0.000 0.000 0.000
0.000 1.978 0.000
0.000 0.000 1.978
1.978 0.000 0.000
```

[14]
TiBeV2H | PBE | optimized geometry

Values from the calculation:
**Total moment**: 0.00 μB per formula unit
**Calculated density**: 4.8 g/cm3
**Space group**: P4/mmm, No. 123
**Energy**: -33.56 eV for the cell shown

Structure (POSCAR):
```
TiBeV2H
1.0
-2.526 2.619 -0.530
-1.060 -0.312 3.507
2.707 2.827 1.070
Be Ti H V
1 1 1 2
Cartesian
-0.439 2.567 2.023
1.353 1.414 0.535
0.000 0.000 0.000
-0.530 -0.156 1.753
-1.263 1.309 -0.265
```

[15]
TiBe2ZnH | PBE | optimized geometry

Values from the calculation:
**Total moment**: 0.00 μB per formula unit
**Calculated density**: 3.8 g/cm3
**Space group**: P4/mmm, No. 123
**Energy**: -16.85 eV for the cell shown

Structure (POSCAR):
```
TiBe2ZnH
1.0
4.212 0.000 0.000
0.000 3.276 0.000
0.000 0.000 4.212
Be Zn H Ti
2 1 1 1
Cartesian
0.000 0.000 2.106
2.106 0.000 0.000
0.000 0.000 0.000
0.000 1.638 0.000
2.106 1.638 2.106
```

[16]
Zr2TiBeH | PBE | optimized geometry

Values from the calculation:
**Total moment**: 0.00 μB per formula unit
**Calculated density**: 5.3 g/cm3
**Space group**: P4/mmm, No. 123
**Energy**: -32.60 eV for the cell shown

Structure (POSCAR):
```
Zr2TiBeH
1.0
4.307 0.000 0.000
0.000 4.307 0.000
0.000 0.000 4.040
Be H Zr Ti
1 1 2 1
Cartesian
2.153 2.153 2.020
0.000 0.000 0.000
0.000 2.153 0.000
2.153 0.000 0.000
0.000 0.000 2.020
```

[17]
ZrTi2BeH | PBE | optimized geometry

Values from the calculation:
**Total moment**: 0.00 μB per formula unit
**Calculated density**: 4.8 g/cm3
**Space group**: P4/mmm, No. 123
**Energy**: -32.03 eV for the cell shown

Structure (POSCAR):
```
ZrTi2BeH
1.0
4.028 0.000 0.000
0.000 4.028 0.000
0.000 0.000 4.225
Be H Zr Ti
1 1 1 2
Cartesian
2.014 2.014 2.112
0.000 0.000 0.000
0.000 0.000 2.112
0.000 2.014 0.000
2.014 0.000 0.000
```

[18]
Be2TlH | PBE | optimized geometry

Values from the calculation:
**Total moment**: 0.00 μB per formula unit
**Calculated density**: 7.6 g/cm3
**Distance to the lowest polymorph of the same formula**: 0.0000 eV/atom
**Space group**: I4_1/amd, No. 141
**Energy**: -22.53 eV for the cell shown

Structure (POSCAR):
```
Be2TlH
1.0
-2.027 0.164 -3.828
-3.132 -2.566 1.549
-5.212 2.961 0.432
Be Tl H
4 2 2
Cartesian
-2.455 0.481 -1.134
-4.021 -0.802 -0.360
-6.627 0.679 -0.143
-7.640 0.761 -2.058
0.000 0.000 0.000
-4.909 0.962 -2.268
-2.580 -1.201 -1.140
-5.462 -0.403 0.421
```

[19]
Be2TlH | PBE | optimized geometry

Values from the calculation:
**Total moment**: 0.00 μB per formula unit
**Calculated density**: 7.4 g/cm3
**Distance to the lowest polymorph of the same formula**: 0.5771 eV/atom
**Space group**: Fm-3m, No. 225
**Energy**: -8.96 eV for the cell shown

Structure (POSCAR):
```
Be2TlH
1.0
0.000 2.925 2.925
2.925 0.000 2.925
2.925 2.925 0.000
Be Tl H
2 1 1
Cartesian
1.462 1.462 1.462
4.387 4.387 4.387
2.925 2.925 2.925
0.000 0.000 0.000
```

[20]
BeTlH3 | PBE | optimized geometry

Values from the calculation:
**Total moment**: 0.00 μB per formula unit
**Calculated density**: 5.4 g/cm3
**Space group**: Pm-3m, No. 221
**Energy**: -10.59 eV for the cell shown

Structure (POSCAR):
```
BeTlH3
1.0
4.046 0.000 0.000
0.000 4.046 0.000
0.000 0.000 4.046
Be Tl H
1 1 3
Cartesian
2.023 2.023 2.023
0.000 0.000 0.000
0.000 2.023 0.000
0.000 0.000 2.023
2.023 0.000 0.000
```